Compound: ZnHgOs2
Source: Alexandria
Functional: SCAN
Structure: PBEsol geometry Values from VASP.

Cell and atoms, written as Quantum ESPRESSO input:
```
&SYSTEM
  ibrav = 0, nat = 4, ntyp = 3
/
ATOMIC_SPECIES
Hg 200.59 Hg.upf
Os 190.23 Os.upf
Zn 65.41 Zn.upf
ATOMIC_POSITIONS angstrom
Hg 0.0000 0.0000 0.0000
Os 2.2002 1.2703 0.8982
Os 6.6005 3.8108 2.6947
Zn 4.4004 2.5406 1.7964
CELL_PARAMETERS angstrom
4.4004 0.0000 0.0000
2.2002 3.8108 0.0000
2.2002 1.2703 3.5929
```

Results
Crystal system   cubic
Density   17.817 Mg/m³
Formation energy from the elements   1034 meV/atom
E above lowest polymorph   0.597 eV per atom
Space group   Fm-3m, No. 225